[1]
! La5Y2Ho3 PBE optimized geometry; values from VASP
! - N(E_F): 17.77 states/eV/f.u.
! - E_tot: -4.97 eV per atom
! - Formation energy: 0.160 eV/atom
! - Space group: C2/c, No. 15
&SYSTEM
  ibrav = 0, nat = 20, ntyp = 3
/
ATOMIC_SPECIES
La 138.91 La.upf
Y 88.91 Y.upf
Ho 164.93 Ho.upf
CELL_PARAMETERS angstrom
5.438 -7.400 0.000
5.438 7.400 0.000
-5.435 0.000 8.701
ATOMIC_POSITIONS crystal
La 0.018 0.982 0.750
La 0.121 0.381 0.753
La 0.228 0.772 0.750
La 0.381 0.121 0.253
La 0.477 0.523 0.250
La 0.523 0.477 0.750
La 0.619 0.879 0.747
La 0.772 0.228 0.250
La 0.879 0.619 0.247
La 0.982 0.018 0.250
Y 0.027 0.286 0.062
Y 0.286 0.027 0.562
Y 0.714 0.973 0.438
Y 0.973 0.714 0.938
Ho 0.221 0.473 0.440
Ho 0.269 0.731 0.250
Ho 0.473 0.221 0.940
Ho 0.527 0.779 0.060
Ho 0.731 0.269 0.750
Ho 0.779 0.527 0.560

***

[2]
! La3Y3Ho2 PBE optimized geometry; values from VASP
! - ΔE to the lowest computed polymorph: 0.00 kcal/mol of atoms
! - N(E_F): 14.33 states/eV/f.u.
! - E_tot: -5.38 eV per atom
! - Formation energy: 0.034 eV/atom
! - Space group: Immm, No. 71
&SYSTEM
  ibrav = 0, nat = 8, ntyp = 3
/
ATOMIC_SPECIES
La 138.91 La.upf
Y 88.91 Y.upf
Ho 164.93 Ho.upf
CELL_PARAMETERS angstrom
-2.540 2.583 10.307
2.540 -2.583 10.307
2.540 2.583 -10.307
ATOMIC_POSITIONS crystal
La 0.000 0.000 0.000
La 0.374 0.874 0.500
La 0.626 0.126 0.500
Y 0.128 0.628 0.500
Y 0.500 0.500 0.000
Y 0.872 0.372 0.500
Ho 0.249 0.249 0.000
Ho 0.751 0.751 0.000

***

Asked for V across the records above, the calculation gives 35.01, 33.82 A^3/atom in order.